The following is a GGA-PBE calculation of PrGaCo after structural relaxation, from OQMD via LeMat-Bulk.

Calculated values
- Final energy: -4.371 eV/atom

a b c (Å): 6.6779 6.6779 6.6779
angles (deg): 90.00 90.00 90.00
Space group F-43m (No. 216)
One atom of each set of equivalent atoms:
1 Pr 0.0000 0.0000 0.0000 x4
2 Ga 0.2500 0.2500 0.2500 x4
3 Co 0.2500 0.2500 0.7500 x4

---

The following is a GGA-PBE calculation of Pr2GaCo2 after structural relaxation, from OQMD via LeMat-Bulk.

Calculated values
- Final energy: -5.624 eV/atom

a b c (Å): 9.5668 5.6119 7.7417
angles (deg): 90.00 103.93 90.00
Space group C2/c (No. 15)
One atom of each set of equivalent atoms:
1 Pr 0.1449 0.1487 0.1453 x8
2 Ga 0.0000 0.3751 0.7500 x4
3 Co 0.1444 0.3547 0.5054 x8

---

The following is a GGA-PBE calculation of PrGaCo after structural relaxation, from OQMD via LeMat-Bulk.

Calculated values
- Final energy: -5.230 eV/atom

a b c (Å): 7.8230 4.2298 7.9683
angles (deg): 90.00 90.00 90.00
Space group Pnma (No. 62)
One atom of each set of equivalent atoms:
1 Pr 0.2092 0.2500 0.0731 x4
2 Ga 0.0033 0.7500 0.2781 x4
3 Co 0.0489 0.2500 0.4265 x4

---

The following is a GGA-PBE calculation of PrGaCo after structural relaxation, from OQMD via LeMat-Bulk.

Calculated values
- Final energy: -5.378 eV/atom

a b c (Å): 4.1741 4.1741 7.0237
angles (deg): 90.00 90.00 90.00
Space group P4/nmm (No. 129, origin choice 2)
One atom of each set of equivalent atoms:
1 Pr 0.2500 0.2500 0.1886 x2
2 Ga 0.2500 0.2500 0.6786 x2
3 Co 0.2500 0.7500 0.5000 x2

---

The following is a GGA-PBE calculation of PrGaCo after structural relaxation, from OQMD via LeMat-Bulk.

Calculated values
- Final energy: -5.102 eV/atom

a b c (Å): 6.3644 6.3644 6.3644
angles (deg): 90.00 90.00 90.00
Space group F-43m (No. 216)
One atom of each set of equivalent atoms:
1 Pr 0.0000 0.0000 0.0000 x4
2 Ga 0.0000 0.0000 0.5000 x4
3 Co 0.2500 0.2500 0.7500 x4

---

The following is a GGA-PBE calculation of Pr2Ga8Co after structural relaxation, from OQMD via LeMat-Bulk.

Calculated values
- Final energy: -4.177 eV/atom

a b c (Å): 4.3340 4.3340 11.4401
angles (deg): 90.00 90.00 90.00
Space group P4/mmm (No. 123)
One atom of each set of equivalent atoms:
1 Pr 0.0000 0.0000 0.1963 x2
2 Ga 0.0000 0.5000 0.0000 x2
3 Ga 0.0000 0.5000 0.3874 x4
4 Ga 0.5000 0.5000 0.1942 x2
5 Co 0.0000 0.0000 0.5000 x1